Entry 1:
Crystalline Bi3RhCl at its relaxed geometry, computed with PBE.

Structure (extended XYZ):
```
10
Lattice="4.086 0.000 1.043 1.886 8.512 1.137 -0.014 -2.155 8.579" Properties=species:S:1:pos:R:3 pbc="T T T"
Bi 0.379 -1.732 7.040
Bi 5.579 8.089 3.719
Bi 3.730 4.939 2.437
Bi 2.228 1.418 8.322
Bi 4.482 4.492 8.018
Bi 1.476 1.865 2.742
Rh 1.990 4.113 9.253
Rh 3.968 2.244 1.506
Cl 3.056 5.323 5.079
Cl 2.902 1.034 5.680
```

Computed properties:
SG = C2/m
uncorrected formation energy = -26.76 kJ/mol of atoms

Entry 2:
Crystalline NaMgHgPb at its relaxed geometry, computed with PBE.

Structure (extended XYZ):
```
4
Lattice="3.567 0.000 0.000 0.000 3.567 0.000 0.000 0.000 7.979" Properties=species:S:1:pos:R:3 pbc="T T T"
Na 0.000 0.000 0.746
Mg 0.000 0.000 4.368
Hg 1.784 1.784 2.738
Pb 1.784 1.784 6.389
```

Computed properties:
energy of formation = -0.194 eV/atom
SG = P4mm

no.,total energy (eV/atom),ΔE to the lowest computed polymorph (meV/atom)
1,-4.4456,0
2,-1.9248,0